Below is a geometry-optimized LiAg2Os structure, with properties calculated at the PBE level.

Calculated values
Magnetization: 0.00 Bohr magnetons per cell
E: -4.29 eV/atom
Mass density: 10.701 Mg/m³

Cell: 2.626 4.352 5.608 Å, 90.00 90.00 90.00°
Sites, in units of the cell vectors:
Li 0.000 0.000 0.000
Ag 0.000 0.000 0.470
Ag 0.500 0.500 0.751
Os 0.500 0.500 0.240